1.
Density functional theory data (meta-GGA SCAN) for a PBEsol-optimized structure of CaTe2Mo.

Computed properties:
* space group: P4/mmm
* raw total energy: -29.97 eV/atom
* E_form (uncorrected): -20 kJ/mol of atoms
* energy relative to the lowest polymorph listed for this composition: 32.1 kJ per mole of atoms
* mass density: 7.30 Mg/m³

POSCAR file:
```
CaTe2Mo
1.0
-2.457 2.469 0.234
-2.103 -2.460 3.876
2.906 2.586 3.219
Mo Te Ca
1 2 1
Direct
0.500 0.000 0.000
0.000 0.000 0.500
0.000 0.500 0.000
0.500 0.500 0.500
```


2.
Density functional theory data (meta-GGA SCAN) for a PBEsol-optimized structure of Be2HS2.

Computed properties:
* space group: P4/mbm
* raw total energy: -5.97 eV/atom
* mass density: 2.42 Mg/m³

POSCAR file:
```
Be2HS2
1.0
3.075 0.000 0.000
0.000 6.099 0.000
0.000 0.000 6.099
Be S H
4 4 2
Direct
0.500 0.139 0.639
0.500 0.639 0.861
0.500 0.861 0.361
0.500 0.361 0.139
0.000 0.311 0.811
0.000 0.811 0.689
0.000 0.689 0.189
0.000 0.189 0.311
0.000 0.000 0.000
0.000 0.500 0.500
```


3.
Density functional theory data (meta-GGA SCAN) for a PBEsol-optimized structure of CrOsPb2.

Computed properties:
* space group: P4/mmm
* raw total energy: -59.67 eV/atom
* energy relative to the lowest polymorph listed for this composition: 37.1 kJ per mole of atoms
* mass density: 14.25 Mg/m³

POSCAR file:
```
CrOsPb2
1.0
3.226 0.000 -0.693
0.000 3.295 0.000
-1.742 0.000 7.574
Cr Os Pb
1 1 2
Direct
0.500 0.500 0.000
0.000 0.500 0.500
0.739 0.000 0.739
0.261 0.000 0.261
```


4.
Density functional theory data (meta-GGA SCAN) for a PBEsol-optimized structure of TaCd.

Computed properties:
* space group: Cmcm
* raw total energy: -48.19 eV/atom
* mass density: 13.05 Mg/m³

POSCAR file:
```
TaCd
1.0
-0.783 2.298 1.482
-3.584 -2.172 1.473
3.481 -3.094 3.907
Cd Ta
2 2
Direct
0.566 0.750 0.131
0.434 0.250 0.869
0.810 0.750 0.620
0.190 0.250 0.380
```